1.
SmNbRu2, optimized geometry, DFT GGA-PBE; volume = 18.21 Å³/atom; formation enthalpy at 0 K = -94.2 meV/atom; crystal system = tetragonal
1.0
4.714 0.000 0.000
0.000 4.714 0.000
0.000 0.000 3.278
Sm Nb Ru
1 1 2
Direct
0.000 0.000 0.000
0.500 0.500 0.000
0.000 0.500 0.500
0.500 0.000 0.500


2.
SmNbRu2, optimized geometry, DFT GGA-PBE; volume = 18.45 Å³/atom; formation enthalpy at 0 K = -242.1 meV/atom; crystal system = tetragonal
1.0
3.229 0.000 0.000
0.000 3.229 0.000
0.000 0.000 7.075
Sm Nb Ru
1 1 2
Direct
0.000 0.000 0.000
0.000 0.000 0.500
0.500 0.500 0.288
0.500 0.500 0.712


3.
SmNbRu, optimized geometry, DFT GGA-PBE; volume = 22.28 Å³/atom; formation enthalpy at 0 K = -78.8 meV/atom; crystal system = monoclinic
1.0
5.565 0.000 0.000
0.000 4.370 0.000
-1.449 0.000 5.497
Sm Nb Ru
2 2 2
Direct
0.235 0.250 0.428
0.765 0.750 0.572
0.345 0.750 0.963
0.655 0.250 0.037
0.098 0.250 0.888
0.902 0.750 0.112


4.
SmTaNbRu2, optimized geometry, DFT GGA-PBE; volume = 20.59 Å³/atom; formation enthalpy at 0 K = -256.0 meV/atom; crystal system = tetragonal
1.0
-2.193 2.193 5.352
2.193 -2.193 5.352
2.193 2.193 -5.352
Sm Ta Nb Ru
1 1 1 2
Direct
0.000 0.000 0.000
0.750 0.250 0.500
0.250 0.750 0.500
0.379 0.379 0.000
0.621 0.621 0.000